P:
This record from Alexandria via LeMat-Bulk describes a relaxed PmTmPb crystal. The functional is PBE.

Structure (POSCAR):
```
PmTmPb
1.0
4.487 0.175 -1.204
-0.497 4.463 -1.204
0.038 0.044 9.124
Tm Pm Pb
2 2 2
Direct
0.000 0.500 0.000
0.500 0.000 0.000
0.325 0.325 0.650
0.675 0.675 0.350
0.866 0.866 0.732
0.134 0.134 0.268
```

Computed properties:
Space group: No. 139
Mass density, g cm⁻³: 9.4
V, Å³ per atom: 30.7
Density of states at the Fermi level, states/eV/cell: 7.10



Q:
This record from Alexandria via LeMat-Bulk describes a relaxed PmTmPb crystal. The functional is PBE.

Structure (POSCAR):
```
PmTmPb
1.0
4.123 0.000 0.000
0.000 4.123 0.000
-2.062 -2.062 5.171
Tm Pm Pb
1 1 1
Direct
0.273 0.273 0.545
0.956 0.956 0.912
0.622 0.622 0.243
```

Computed properties:
Space group: No. 107
Mass density, g cm⁻³: 9.8
V, Å³ per atom: 29.3
Density of states at the Fermi level, states/eV/cell: 4.08



It comes down to P, which is 18.6 kJ/mol of atoms more stable than the next structure.



P:
This record from Alexandria via LeMat-Bulk describes a relaxed Pm2TmPb3 crystal. The functional is PBE.

Structure (POSCAR):
```
Pm2TmPb3
1.0
-2.597 -3.085 -4.175
4.724 -7.751 -1.246
-3.950 -3.183 4.785
Pb Pm Tm
6 4 2
Direct
0.831 0.338 0.759
0.500 0.000 0.243
0.500 0.000 0.757
0.169 0.662 0.759
0.169 0.662 0.241
0.831 0.338 0.241
0.335 0.331 0.500
0.000 0.000 0.500
0.000 0.000 0.000
0.665 0.669 0.500
0.666 0.668 0.000
0.334 0.332 0.000
```

Computed properties:
Space group: No. 12
Mass density, g cm⁻³: 10.2
V, Å³ per atom: 29.3
Density of states at the Fermi level, states/eV/cell: 12.63



Q:
This record from Alexandria via LeMat-Bulk describes a relaxed Pm2TmPb3 crystal. The functional is PBE.

Structure (POSCAR):
```
Pm2TmPb3
1.0
-5.142 2.830 0.489
-2.227 -7.855 -2.896
3.134 -0.010 8.076
Pm Pb Tm
4 6 2
Direct
0.750 0.752 0.248
0.750 0.082 0.918
0.250 0.918 0.082
0.250 0.248 0.752
0.491 0.338 0.176
0.509 0.662 0.824
0.000 0.500 0.000
0.500 0.000 0.500
0.991 0.176 0.338
0.009 0.824 0.662
0.250 0.584 0.416
0.750 0.416 0.584
```

Computed properties:
Space group: No. 15
Mass density, g cm⁻³: 9.9
V, Å³ per atom: 30.3
Density of states at the Fermi level, states/eV/cell: 9.32



It comes down to Q, which is 2.3 kJ/mol of atoms more stable than the next structure.



P:
This record from Alexandria via LeMat-Bulk describes a relaxed Pm2TmPb2 crystal. The functional is PBE.

Structure (POSCAR):
```
Pm2TmPb2
1.0
4.554 0.000 0.000
0.000 8.212 0.000
0.000 0.000 8.212
Pm Tm Pb
4 2 4
Direct
0.500 0.332 0.168
0.500 0.832 0.332
0.500 0.668 0.832
0.500 0.168 0.668
0.000 0.000 0.000
0.000 0.500 0.500
0.000 0.863 0.637
0.000 0.137 0.363
0.000 0.363 0.863
0.000 0.637 0.137
```

Computed properties:
Space group: No. 127
Mass density, g cm⁻³: 9.4
V, Å³ per atom: 30.7
Density of states at the Fermi level, states/eV/cell: 8.46



Q:
This record from Alexandria via LeMat-Bulk describes a relaxed Pm2TmPb2 crystal. The functional is PBE.

Structure (POSCAR):
```
Pm2TmPb2
1.0
-3.227 3.125 2.439
-0.468 -4.346 4.950
8.747 2.496 3.018
Pb Pm Tm
4 4 2
Direct
0.577 0.977 0.154
0.189 0.477 0.379
0.811 0.977 0.621
0.423 0.477 0.846
0.000 0.227 0.000
0.000 0.727 0.000
0.193 0.977 0.386
0.807 0.477 0.614
0.397 0.977 0.794
0.603 0.477 0.206
```

Computed properties:
Space group: No. 63
Mass density, g cm⁻³: 9.3
V, Å³ per atom: 31.2
Density of states at the Fermi level, states/eV/cell: 7.30



It comes down to P, which is 4.2 kJ/mol of atoms more stable than the next structure.



P:
This record from Alexandria via LeMat-Bulk describes a relaxed PmTm4Pb5 crystal. The functional is PBE.

Structure (POSCAR):
```
PmTm4Pb5
1.0
-3.317 1.326 5.158
-5.211 -5.336 1.836
3.116 -2.650 6.501
Pb Tm Pm
5 4 1
Direct
0.308 0.791 0.595
0.099 0.595 0.209
0.693 0.209 0.405
0.902 0.405 0.791
0.503 0.000 0.000
0.797 0.808 0.599
0.396 0.401 0.808
0.605 0.599 0.192
0.204 0.192 0.401
0.002 0.000 0.000
```

Computed properties:
Space group: No. 79
Mass density, g cm⁻³: 10.0
V, Å³ per atom: 30.8
Density of states at the Fermi level, states/eV/cell: 8.92



Q:
This record from Alexandria via LeMat-Bulk describes a relaxed PmTm4Pb5 crystal. The functional is PBE.

Structure (POSCAR):
```
PmTm4Pb5
1.0
-1.392 -0.622 -3.184
0.355 -3.473 0.523
-20.404 -0.722 9.061
Pb Pm Tm
5 1 4
Direct
0.500 0.500 0.895
0.500 0.500 0.698
0.500 0.500 0.302
0.500 0.500 0.500
0.500 0.500 0.105
0.000 0.000 0.000
0.000 0.000 0.599
0.000 0.000 0.797
0.000 0.000 0.401
0.000 0.000 0.203
```

Computed properties:
Space group: No. 123
Mass density, g cm⁻³: 11.1
V, Å³ per atom: 27.8
Density of states at the Fermi level, states/eV/cell: 7.49



It comes down to Q, which is 10.9 kJ/mol of atoms more stable than the next structure.